Material: NaMgB2H8
Method: DFT, PBE
State: optimized geometry

Results
Total magnetization in μB/atom: 0.000
E in eV/cell: -44.52
Space group: C2/m (12)

a = 4.263 Å, b = 4.263 Å, c = 7.563 Å
α = 116.33°, β = 116.33°, γ = 71.82°
Positions (direct):
H 0.335 0.335 0.811
Mg 0.000 0.000 0.000
H 0.198 0.614 0.165
H 0.386 0.802 0.835
H 0.665 0.665 0.189
H 0.618 0.618 0.431
B 0.476 0.476 0.761
H 0.802 0.386 0.835
B 0.524 0.524 0.239
H 0.382 0.382 0.569
Na 0.000 0.000 0.500
H 0.614 0.198 0.165